Here is a relaxed LiZr2Se crystal from Alexandria. Energies are from PBE.

Calculated values
uncorrected formation energy: -0.286 eV/atom
raw total energy: -5.91 eV per atom

Cell: 4.420 4.128 4.128 Å, 90.00 90.00 90.00°
Fractional coordinates of all 4 atoms:
Se 0.500 0.000 0.500
Li 0.500 0.500 0.000
Zr 0.000 0.500 0.500
Zr 0.000 0.000 0.000